Entry P
Material: Sc2BePb
Method: DFT, PBE
State: optimized geometry

Geometry as CIF:
```
data_Sc2BePb
_symmetry_space_group_name_H-M 'P m m 2'
_symmetry_Int_Tables_number 25
_symmetry_space_group_name_Hall 'P 2 -2'
_cell_length_a 3.4040
_cell_length_b 4.2914
_cell_length_c 6.0241
_cell_angle_alpha 90.00
_cell_angle_beta 90.00
_cell_angle_gamma 90.00
loop_
_atom_site_label
_atom_site_type_symbol
_atom_site_fract_x
_atom_site_fract_y
_atom_site_fract_z
Sc1 Sc 0.0000 0.0000 0.0000
Sc2 Sc 0.5000 0.5000 0.2813
Be1 Be 0.0000 0.0000 0.4383
Pb1 Pb 0.5000 0.5000 0.7603
```


Entry Q
Material: Sc2BePb
Method: DFT, PBE
State: optimized geometry

Geometry as CIF:
```
data_Sc2BePb
_symmetry_space_group_name_H-M 'C 1 2/m 1'
_symmetry_Int_Tables_number 12
_symmetry_space_group_name_Hall '-C 2y'
_cell_length_a 8.5980
_cell_length_b 3.4057
_cell_length_c 6.1502
_cell_angle_alpha 90.00
_cell_angle_beta 102.49
_cell_angle_gamma 90.00
loop_
_atom_site_label
_atom_site_type_symbol
_atom_site_fract_x
_atom_site_fract_y
_atom_site_fract_z
Sc1 Sc 0.2376 0.0000 0.2094
Be1 Be 0.0000 0.5000 0.0000
Pb1 Pb 0.0000 0.0000 0.5000
```


Entry R
Material: Sc2BePb
Method: DFT, PBE
State: optimized geometry

Geometry as CIF:
```
data_Sc2BePb
_symmetry_space_group_name_H-M 'I 4/m m m'
_symmetry_Int_Tables_number 139
_symmetry_space_group_name_Hall '-I 4 2'
_cell_length_a 4.3760
_cell_length_b 4.3760
_cell_length_c 8.3725
_cell_angle_alpha 90.00
_cell_angle_beta 90.00
_cell_angle_gamma 90.00
loop_
_atom_site_label
_atom_site_type_symbol
_atom_site_fract_x
_atom_site_fract_y
_atom_site_fract_z
Sc1 Sc 0.0000 0.5000 0.2500
Be1 Be 0.0000 0.0000 0.0000
Pb1 Pb 0.0000 0.0000 0.5000
```


Entry S
Material: Sc2BePb
Method: DFT, PBE
State: optimized geometry

Geometry as CIF:
```
data_Sc2BePb
_symmetry_space_group_name_H-M 'C m m m'
_symmetry_Int_Tables_number 65
_symmetry_space_group_name_Hall '-C 2 2'
_cell_length_a 6.1154
_cell_length_b 8.2368
_cell_length_c 3.2523
_cell_angle_alpha 90.00
_cell_angle_beta 90.00
_cell_angle_gamma 90.00
loop_
_atom_site_label
_atom_site_type_symbol
_atom_site_fract_x
_atom_site_fract_y
_atom_site_fract_z
Sc1 Sc 0.2500 0.2500 0.0000
Be1 Be 0.0000 0.0000 0.5000
Pb1 Pb 0.0000 0.5000 0.5000
```


Name the least stable of them. entry P.